(1)
## Na3Sc3TcO8 (GGA-PBE)

Data for an optimized crystal structure of Na3Sc3TcO8.

Output
Symmetry: R-3m
Formation energy (no corrections): -2.55 eV/atom
VASP energy: -7.413 eV/atom

a b c (Å): 6.6205 6.6205 6.6205
angles (deg): 56.96 56.96 56.96
Fractional positions:
Na (0.0000, 0.5000, 0.5000)
Na (0.5000, 0.0000, 0.5000)
Na (0.5000, 0.5000, 0.0000)
Sc (0.0000, 0.0000, 0.5000)
Sc (0.0000, 0.5000, 0.0000)
Sc (0.5000, 0.0000, 0.0000)
Tc (0.5000, 0.5000, 0.5000)
O (0.2331, 0.2331, 0.2331)
O (0.2439, 0.7260, 0.7260)
O (0.2740, 0.2740, 0.7561)
O (0.2740, 0.7561, 0.2740)
O (0.7260, 0.2439, 0.7260)
O (0.7260, 0.7260, 0.2439)
O (0.7561, 0.2740, 0.2740)
O (0.7669, 0.7669, 0.7669)

---

(2)
## Na4Sc3TcO8 (GGA-PBE)

Data for an optimized crystal structure of Na4Sc3TcO8.

Output
Symmetry: R-3m
Formation energy (no corrections): -2.43 eV/atom
VASP energy: -7.076 eV/atom

a b c (Å): 6.5890 6.5890 6.5890
angles (deg): 57.11 57.11 57.11
Fractional positions:
Na (0.0000, 0.0000, 0.0000)
Na (0.0000, 0.5000, 0.5000)
Na (0.5000, 0.0000, 0.5000)
Na (0.5000, 0.5000, 0.0000)
Sc (0.0000, 0.0000, 0.5000)
Sc (0.0000, 0.5000, 0.0000)
Sc (0.5000, 0.0000, 0.0000)
Tc (0.5000, 0.5000, 0.5000)
O (0.2341, 0.2341, 0.2341)
O (0.2368, 0.7361, 0.7361)
O (0.2639, 0.2639, 0.7632)
O (0.2639, 0.7632, 0.2639)
O (0.7361, 0.2368, 0.7361)
O (0.7361, 0.7361, 0.2368)
O (0.7632, 0.2639, 0.2639)
O (0.7659, 0.7659, 0.7659)

---

(3)
## Na2Sc2TcO6 (GGA-PBE)

Data for an optimized crystal structure of Na2Sc2TcO6.

Output
Symmetry: C2/m
Formation energy (no corrections): -2.42 eV/atom
VASP energy: -7.460 eV/atom

a b c (Å): 5.4257 5.4257 5.8502
angles (deg): 98.67 98.67 119.66
Fractional positions:
Na (0.1647, 0.8353, 0.0000)
Na (0.8353, 0.1647, 0.0000)
Sc (0.3352, 0.6648, 0.5000)
Sc (0.6648, 0.3352, 0.5000)
Tc (0.0000, 0.0000, 0.5000)
O (0.0555, 0.3863, 0.6936)
O (0.2559, 0.2559, 0.3052)
O (0.3863, 0.0555, 0.6936)
O (0.6137, 0.9445, 0.3064)
O (0.7441, 0.7441, 0.6948)
O (0.9445, 0.6137, 0.3064)

---

(4)
## Na3Sc2TeO6 (GGA-PBE)

Data for an optimized crystal structure of Na3Sc2TeO6.

Output
Symmetry: C2/m
Formation energy (no corrections): -2.15 eV/atom
VASP energy: -6.279 eV/atom

a b c (Å): 5.6660 5.6660 6.0575
angles (deg): 102.92 102.92 115.51
Fractional positions:
Na (0.0000, 0.0000, 0.0000)
Na (0.3391, 0.6609, 0.0000)
Na (0.6609, 0.3391, 0.0000)
Sc (0.1612, 0.8388, 0.5000)
Sc (0.8388, 0.1612, 0.5000)
Te (0.5000, 0.5000, 0.5000)
O (0.0745, 0.4190, 0.3081)
O (0.1878, 0.1878, 0.7338)
O (0.4190, 0.0745, 0.3081)
O (0.5810, 0.9255, 0.6919)
O (0.8122, 0.8122, 0.2662)
O (0.9255, 0.5810, 0.6919)

---

(5)
## Na2ScTeO4 (GGA-PBE)

Data for an optimized crystal structure of Na2ScTeO4.

Output
Symmetry: I-4
Formation energy (no corrections): -1.80 eV/atom
VASP energy: -5.789 eV/atom

a b c (Å): 5.4309 5.4309 5.4309
angles (deg): 111.45 111.45 105.58
Fractional positions:
Na (0.0000, 0.0000, 0.0000)
Na (0.7500, 0.2500, 0.5000)
Sc (0.5000, 0.5000, 0.0000)
Te (0.2500, 0.7500, 0.5000)
O (0.1412, 0.4988, 0.0303)
O (0.4685, 0.1109, 0.9697)
O (0.5012, 0.5315, 0.6424)
O (0.8891, 0.8588, 0.3576)

---

(6)
## Na2Sc2TeO6 (GGA-PBE)

Data for an optimized crystal structure of Na2Sc2TeO6.

Output
Symmetry: C2/m
Formation energy (no corrections): -2.29 eV/atom
VASP energy: -6.671 eV/atom

a b c (Å): 5.6185 5.6185 5.9104
angles (deg): 99.17 99.17 119.99
Fractional positions:
Na (0.1694, 0.8306, 0.0000)
Na (0.8306, 0.1694, 0.0000)
Sc (0.3347, 0.6653, 0.5000)
Sc (0.6653, 0.3347, 0.5000)
Te (0.0000, 0.0000, 0.5000)
O (0.0564, 0.4058, 0.6953)
O (0.2682, 0.2682, 0.3040)
O (0.4058, 0.0564, 0.6953)
O (0.5942, 0.9436, 0.3047)
O (0.7318, 0.7318, 0.6960)
O (0.9436, 0.5942, 0.3047)

---

(7)
## NaSc2TeO6 (GGA-PBE)

Data for an optimized crystal structure of NaSc2TeO6.

Output
Symmetry: R3
Formation energy (no corrections): -2.34 eV/atom
VASP energy: -7.024 eV/atom

a b c (Å): 5.8417 5.8417 5.8417
angles (deg): 56.58 56.58 56.58
Fractional positions:
Na (0.0000, 0.0000, 0.0000)
Sc (0.2680, 0.2680, 0.2680)
Sc (0.7803, 0.7803, 0.7803)
Te (0.4729, 0.4729, 0.4729)
O (0.0852, 0.6284, 0.4316)
O (0.1796, 0.5447, 0.8835)
O (0.4316, 0.0852, 0.6284)
O (0.5447, 0.8835, 0.1796)
O (0.6284, 0.4316, 0.0852)
O (0.8835, 0.1796, 0.5447)

---

(8)
## Na2ScTe2O6 (GGA-PBE)

Data for an optimized crystal structure of Na2ScTe2O6.

Output
Symmetry: C2/m
Formation energy (no corrections): -1.57 eV/atom
VASP energy: -5.661 eV/atom

a b c (Å): 5.8006 5.8006 6.1415
angles (deg): 110.85 110.85 70.76
Fractional positions:
Na (0.1566, 0.1566, 0.1366)
Na (0.8434, 0.8434, 0.8634)
Sc (0.0000, 0.0000, 0.5000)
Te (0.4725, 0.4725, 0.7357)
Te (0.5275, 0.5275, 0.2643)
O (0.1791, 0.7637, 0.2299)
O (0.2363, 0.8209, 0.7701)
O (0.2514, 0.2514, 0.5782)
O (0.7486, 0.7486, 0.4218)
O (0.7637, 0.1791, 0.2299)
O (0.8209, 0.2363, 0.7701)

---

(9)
## NaSc4TiO8 (GGA-PBE)

Data for an optimized crystal structure of NaSc4TiO8.

Output
Symmetry: R3m
Formation energy (no corrections): -3.11 eV/atom
VASP energy: -8.408 eV/atom

a b c (Å): 6.2468 6.2468 6.2468
angles (deg): 60.55 60.55 60.55
Fractional positions:
Na (0.0000, 0.0000, 0.0000)
Sc (0.5023, 0.9989, 0.9989)
Sc (0.6187, 0.6187, 0.6187)
Sc (0.9989, 0.5023, 0.9989)
Sc (0.9989, 0.9989, 0.5023)
Ti (0.3794, 0.3794, 0.3794)
O (0.2295, 0.7445, 0.7445)
O (0.2441, 0.2441, 0.2441)
O (0.2591, 0.2591, 0.7529)
O (0.2591, 0.7529, 0.2591)
O (0.7445, 0.2295, 0.7445)
O (0.7445, 0.7445, 0.2295)
O (0.7529, 0.2591, 0.2591)
O (0.7559, 0.7559, 0.7559)

---

(10)
## NaSc2Ti2O7 (GGA-PBE)

Data for an optimized crystal structure of NaSc2Ti2O7.

Output
Symmetry: Imm2
Formation energy (no corrections): -2.94 eV/atom
VASP energy: -8.309 eV/atom

a b c (Å): 8.9130 8.9130 8.9130
angles (deg): 153.14 39.04 152.21
Fractional positions:
Na (0.0000, 0.0000, 0.0000)
Sc (0.3978, 0.6436, 0.7541)
Sc (0.8895, 0.6436, 0.2459)
Ti (0.4721, 0.0810, 0.3911)
Ti (0.6899, 0.0810, 0.6089)
O (0.0401, 0.6643, 0.3758)
O (0.2885, 0.6643, 0.6242)
O (0.4125, 0.1470, 0.2656)
O (0.5198, 0.6422, 0.8776)
O (0.6514, 0.1514, 0.5000)
O (0.7645, 0.6422, 0.1224)
O (0.8814, 0.1470, 0.7345)

---

(11)
## Na2ScTiO4 (GGA-PBE)

Data for an optimized crystal structure of Na2ScTiO4.

Output
Symmetry: P2/m
Formation energy (no corrections): -2.62 eV/atom
VASP energy: -7.206 eV/atom

a b c (Å): 5.4022 3.1033 5.7702
angles (deg): 90.00 108.12 90.00
Fractional positions:
Na (0.0000, 0.0000, 0.0000)
Na (0.5000, 0.5000, 0.0000)
Sc (0.0000, 0.5000, 0.5000)
Ti (0.5000, 0.0000, 0.5000)
O (0.2428, 0.0000, 0.7043)
O (0.2696, 0.5000, 0.2946)
O (0.7304, 0.5000, 0.7054)
O (0.7572, 0.0000, 0.2957)

---

(12)
## Na3Sc2TiO6 (GGA-PBE)

Data for an optimized crystal structure of Na3Sc2TiO6.

Output
Symmetry: C2/m
Formation energy (no corrections): -2.68 eV/atom
VASP energy: -7.206 eV/atom

a b c (Å): 5.4519 5.4519 5.7508
angles (deg): 98.87 98.87 120.11
Fractional positions:
Na (0.0000, 0.0000, 0.0000)
Na (0.3349, 0.6651, 0.0000)
Na (0.6651, 0.3349, 0.0000)
Sc (0.1698, 0.8302, 0.5000)
Sc (0.8302, 0.1698, 0.5000)
Ti (0.5000, 0.5000, 0.5000)
O (0.0999, 0.4297, 0.2933)
O (0.2468, 0.2468, 0.6973)
O (0.4297, 0.0999, 0.2933)
O (0.5703, 0.9001, 0.7067)
O (0.7532, 0.7532, 0.3027)
O (0.9001, 0.5703, 0.7067)

---

(13)
## NaScTiO4 (GGA-PBE)

Data for an optimized crystal structure of NaScTiO4.

Output
Symmetry: Pmc2_1
Formation energy (no corrections): -2.95 eV/atom
VASP energy: -8.007 eV/atom

a b c (Å): 3.0655 11.0051 9.4036
angles (deg): 90.00 90.00 90.00
Fractional positions:
Na (0.0000, 0.0983, 0.0000)
Na (0.0000, 0.9017, 0.5000)
Na (0.5000, 0.3994, 0.5118)
Na (0.5000, 0.6006, 0.0118)
Sc (0.5000, 0.1483, 0.6817)
Sc (0.5000, 0.3577, 0.1850)
Sc (0.5000, 0.6423, 0.6850)
Sc (0.5000, 0.8517, 0.1817)
Ti (0.0000, 0.1356, 0.3210)
Ti (0.0000, 0.3592, 0.8410)
Ti (0.0000, 0.6408, 0.3410)
Ti (0.0000, 0.8644, 0.8210)
O (0.0000, 0.0325, 0.7469)
O (0.0000, 0.2780, 0.6552)
O (0.0000, 0.3106, 0.3314)
O (0.0000, 0.4081, 0.0441)
O (0.0000, 0.5919, 0.5441)
O (0.0000, 0.6894, 0.8314)
O (0.0000, 0.7220, 0.1552)
O (0.0000, 0.9675, 0.2469)
O (0.5000, 0.1028, 0.4573)
O (0.5000, 0.1654, 0.1845)
O (0.5000, 0.2432, 0.8828)
O (0.5000, 0.4668, 0.7892)
O (0.5000, 0.5332, 0.2892)
O (0.5000, 0.7568, 0.3828)
O (0.5000, 0.8346, 0.6845)
O (0.5000, 0.8972, 0.9573)

---

(14)
## Na3Sc3TiO8 (GGA-PBE)

Data for an optimized crystal structure of Na3Sc3TiO8.

Output
Symmetry: R-3m
Formation energy (no corrections): -2.90 eV/atom
VASP energy: -7.599 eV/atom

a b c (Å): 6.6050 6.6050 6.6050
angles (deg): 56.68 56.68 56.68
Fractional positions:
Na (0.0000, 0.5000, 0.5000)
Na (0.5000, 0.0000, 0.5000)
Na (0.5000, 0.5000, 0.0000)
Sc (0.0000, 0.0000, 0.5000)
Sc (0.0000, 0.5000, 0.0000)
Sc (0.5000, 0.0000, 0.0000)
Ti (0.5000, 0.5000, 0.5000)
O (0.2334, 0.2334, 0.2334)
O (0.2508, 0.7204, 0.7204)
O (0.2796, 0.2796, 0.7492)
O (0.2796, 0.7492, 0.2796)
O (0.7204, 0.2508, 0.7204)
O (0.7204, 0.7204, 0.2508)
O (0.7492, 0.2796, 0.2796)
O (0.7666, 0.7666, 0.7666)

---

(15)
## Na2Sc2TiO6 (GGA-PBE)

Data for an optimized crystal structure of Na2Sc2TiO6.

Output
Symmetry: C2/m
Formation energy (no corrections): -2.90 eV/atom
VASP energy: -7.715 eV/atom

a b c (Å): 5.3774 5.3774 5.8320
angles (deg): 98.66 98.66 119.57
Fractional positions:
Na (0.1653, 0.8347, 0.0000)
Na (0.8347, 0.1653, 0.0000)
Sc (0.3346, 0.6654, 0.5000)
Sc (0.6654, 0.3346, 0.5000)
Ti (0.0000, 0.0000, 0.5000)
O (0.0553, 0.3785, 0.6911)
O (0.2475, 0.2475, 0.3108)
O (0.3785, 0.0553, 0.6911)
O (0.6215, 0.9447, 0.3089)
O (0.7525, 0.7525, 0.6892)
O (0.9447, 0.6215, 0.3089)

---

(16)
## NaScTi2O6 (GGA-PBE)

Data for an optimized crystal structure of NaScTi2O6.

Output
Symmetry: C2/c
Formation energy (no corrections): -2.94 eV/atom
VASP energy: -8.261 eV/atom

a b c (Å): 7.2917 7.2917 6.2626
angles (deg): 105.83 105.83 98.19
Fractional positions:
Na (0.1071, 0.8929, 0.7500)
Na (0.8929, 0.1071, 0.2500)
Sc (0.1922, 0.8078, 0.2500)
Sc (0.8078, 0.1922, 0.7500)
Ti (0.2729, 0.4270, 0.8156)
Ti (0.4270, 0.2729, 0.3156)
Ti (0.5730, 0.7271, 0.6844)
Ti (0.7271, 0.5730, 0.1844)
O (0.0604, 0.2174, 0.6859)
O (0.1719, 0.6271, 0.9360)
O (0.2174, 0.0604, 0.1859)
O (0.3415, 0.4277, 0.5440)
O (0.3729, 0.8281, 0.5640)
O (0.4277, 0.3415, 0.0440)
O (0.5723, 0.6585, 0.9560)
O (0.6271, 0.1719, 0.4360)
O (0.6585, 0.5723, 0.4560)
O (0.7826, 0.9396, 0.8141)
O (0.8281, 0.3729, 0.0640)
O (0.9396, 0.7826, 0.3141)

---

(17)
## Na3ScTl2O6 (GGA-PBE)

Data for an optimized crystal structure of Na3ScTl2O6.

Output
Symmetry: C2/m
Formation energy (no corrections): -1.63 eV/atom
VASP energy: -5.361 eV/atom

a b c (Å): 5.7715 5.7715 5.9082
angles (deg): 99.50 99.50 119.88
Fractional positions:
Na (0.0000, 0.0000, 0.0000)
Na (0.3321, 0.6679, 0.0000)
Na (0.6679, 0.3321, 0.0000)
Sc (0.5000, 0.5000, 0.5000)
Tl (0.1668, 0.8332, 0.5000)
Tl (0.8332, 0.1668, 0.5000)
O (0.1143, 0.4274, 0.2802)
O (0.2598, 0.2598, 0.7164)
O (0.4274, 0.1143, 0.2802)
O (0.5726, 0.8857, 0.7198)
O (0.7402, 0.7402, 0.2836)
O (0.8857, 0.5726, 0.7198)

---

(18)
## Na4Sc3TlO8 (GGA-PBE)

Data for an optimized crystal structure of Na4Sc3TlO8.

Output
Symmetry: R-3m
Formation energy (no corrections): -2.37 eV/atom
VASP energy: -6.515 eV/atom

a b c (Å): 6.6745 6.6745 6.6745
angles (deg): 58.05 58.05 58.05
Fractional positions:
Na (0.0000, 0.0000, 0.0000)
Na (0.0000, 0.5000, 0.5000)
Na (0.5000, 0.0000, 0.5000)
Na (0.5000, 0.5000, 0.0000)
Sc (0.0000, 0.0000, 0.5000)
Sc (0.0000, 0.5000, 0.0000)
Sc (0.5000, 0.0000, 0.0000)
Tl (0.5000, 0.5000, 0.5000)
O (0.2183, 0.7468, 0.7468)
O (0.2335, 0.2335, 0.2335)
O (0.2532, 0.2532, 0.7817)
O (0.2532, 0.7817, 0.2532)
O (0.7468, 0.2183, 0.7468)
O (0.7468, 0.7468, 0.2183)
O (0.7665, 0.7665, 0.7665)
O (0.7817, 0.2532, 0.2532)

---

(19)
## Na3Sc2TlO6 (GGA-PBE)

Data for an optimized crystal structure of Na3Sc2TlO6.

Output
Symmetry: C2/m
Formation energy (no corrections): -2.22 eV/atom
VASP energy: -6.285 eV/atom

a b c (Å): 5.6336 5.6336 5.8652
angles (deg): 99.31 99.31 119.96
Fractional positions:
Na (0.0000, 0.0000, 0.0000)
Na (0.3346, 0.6654, 0.0000)
Na (0.6654, 0.3346, 0.0000)
Sc (0.1667, 0.8333, 0.5000)
Sc (0.8333, 0.1667, 0.5000)
Tl (0.5000, 0.5000, 0.5000)
O (0.0740, 0.4294, 0.2895)
O (0.2152, 0.2152, 0.7131)
O (0.4294, 0.0740, 0.2895)
O (0.5706, 0.9260, 0.7105)
O (0.7848, 0.7848, 0.2869)
O (0.9260, 0.5706, 0.7105)